No. 1
This record from the Alexandria database describes crystalline BaZnGaPt3 at its relaxed geometry. The functional is PBE.

Properties
The value obtained for the total moment is 0.00 μB/cell. For the calculated formation energy, the calculation gives -0.5431 eV per atom. As for the crystal system: orthorhombic.

abc: 7.327 7.327 5.945
angles: 90.00 90.00 122.78
Element x y z (fractional)
Ba  0.230  0.770  0.750
Ba  0.770  0.230  0.250
Zn  0.497  0.503  0.250
Zn  0.503  0.497  0.750
Ga  0.111  0.889  0.250
Ga  0.889  0.111  0.750
Pt  0.209  0.209  0.000
Pt  0.209  0.209  0.500
Pt  0.299  0.701  0.250
Pt  0.701  0.299  0.750
Pt  0.791  0.791  0.000
Pt  0.791  0.791  0.500

***

No. 2
This record from the Alexandria database describes crystalline TbGaRhAu at its relaxed geometry. The functional is PBE.

Properties
The value obtained for the total moment is 0.00 μB/cell. For the calculated formation energy, the calculation gives -0.5897 eV per atom. As for the crystal system: cubic.

abc: 4.729 4.729 4.729
angles: 60.00 60.00 60.00
Element x y z (fractional)
Tb  0.000  0.000  0.000
Ga  0.500  0.500  0.500
Rh  0.750  0.750  0.750
Au  0.250  0.250  0.250

***

No. 3
This record from the Alexandria database describes crystalline CoNiIr2 at its relaxed geometry. The functional is PBE.

Properties
The value obtained for the total moment is 2.75 μB/cell. For the calculated formation energy, the calculation gives 0.0237 eV per atom. As for the crystal system: monoclinic. The energy above the most stable polymorph in this dataset comes out at 18.8 meV per atom.

abc: 4.489 4.489 4.625
angles: 99.87 99.87 34.60
Element x y z (fractional)
Co  0.000  0.000  0.000
Ni  0.500  0.500  0.500
Ir  0.252  0.252  0.751
Ir  0.748  0.748  0.249

***

No. 4
This record from the Alexandria database describes crystalline CdSiPtO6 at its relaxed geometry. The functional is PBE.

Properties
The uncorrected formation energy is -1.219 eV per atom. The value obtained for the total moment is 3.81 μB/cell. As for the crystal system: trigonal.

abc: 5.022 5.022 9.715
angles: 90.00 90.00 120.00
Element x y z (fractional)
Cd  0.000  0.000  0.000
Cd  0.000  0.000  0.500
Si  0.333  0.667  0.250
Si  0.667  0.333  0.750
Pt  0.333  0.667  0.750
Pt  0.667  0.333  0.250
O  0.028  0.380  0.147
O  0.028  0.648  0.353
O  0.352  0.380  0.353
O  0.352  0.972  0.147
O  0.380  0.028  0.647
O  0.380  0.352  0.853
O  0.620  0.648  0.147
O  0.620  0.972  0.353
O  0.648  0.028  0.853
O  0.648  0.620  0.647
O  0.972  0.352  0.647
O  0.972  0.620  0.853